Entry from Alexandria via LeMat-Bulk: a geometry-optimized PmSi3IrPd structure (PBE).

raw formation energy: -3.15 eV/f.u.
N(E_F): 2.20 states/eV/f.u.

```
PmSi3IrPd
1.0
2.8141 -7.4744 0.0000
2.8141 7.4744 0.0000
0.0000 0.0000 5.7038
Pm Si Ir Pd
2 6 2 2
Direct
0.1940 0.8060 0.7500
0.8060 0.1940 0.2500
0.2440 0.2440 0.0000
0.2440 0.2440 0.5000
0.2578 0.7422 0.2500
0.7422 0.2578 0.7500
0.7560 0.7560 0.0000
0.7560 0.7560 0.5000
0.4137 0.5863 0.2500
0.5863 0.4137 0.7500
0.0994 0.9006 0.2500
0.9006 0.0994 0.7500
```

***

Entry from Alexandria via LeMat-Bulk: a geometry-optimized PmSmIrPd structure (PBE).

calculated formation energy: -0.75 eV per atom
N(E_F): 3.06 states/eV/f.u.

```
PmSmIrPd
1.0
0.0000 3.5450 3.5450
3.5450 0.0000 3.5450
3.5450 3.5450 0.0000
Pm Sm Ir Pd
1 1 1 1
Direct
0.0000 0.0000 0.0000
0.5000 0.5000 0.5000
0.2500 0.2500 0.2500
0.7500 0.7500 0.7500
```

***

Entry from Alexandria via LeMat-Bulk: a geometry-optimized Pm2Sn4Ir3Pd structure (PBE).

calculated formation energy: -0.59 eV per atom
N(E_F): 6.55 states/eV/f.u.

```
Pm2Sn4Ir3Pd
1.0
4.4817 0.0000 0.0000
0.0000 4.4817 0.0000
0.0000 0.0000 10.9538
Pm Sn Ir Pd
2 4 3 1
Direct
0.0000 0.5000 0.2453
0.5000 0.0000 0.7547
0.0000 0.0000 0.0000
0.0000 0.5000 0.6318
0.5000 0.0000 0.3682
0.5000 0.5000 0.0000
0.0000 0.5000 0.8672
0.5000 0.0000 0.1328
0.5000 0.5000 0.5000
0.0000 0.0000 0.5000
```

***

Entry from Alexandria via LeMat-Bulk: a geometry-optimized SrPmIrPd structure (PBE).

calculated formation energy: -0.48 eV per atom
N(E_F): 1.29 states/eV/f.u.

```
SrPmIrPd
1.0
0.0000 3.5940 3.5940
3.5940 0.0000 3.5940
3.5940 3.5940 0.0000
Sr Pm Ir Pd
1 1 1 1
Direct
0.0000 0.0000 0.0000
0.5000 0.5000 0.5000
0.7500 0.7500 0.7500
0.2500 0.2500 0.2500
```

***

Entry from Alexandria via LeMat-Bulk: a geometry-optimized TbPmIrPd structure (PBE).

calculated formation energy: -0.80 eV per atom
N(E_F): 2.83 states/eV/f.u.

```
TbPmIrPd
1.0
0.0000 3.5174 3.5174
3.5174 0.0000 3.5174
3.5174 3.5174 0.0000
Tb Pm Ir Pd
1 1 1 1
Direct
0.0000 0.0000 0.0000
0.5000 0.5000 0.5000
0.7500 0.7500 0.7500
0.2500 0.2500 0.2500
```

***

Entry from Alexandria via LeMat-Bulk: a geometry-optimized Pm8Te4Ir3Pd structure (PBE).

raw formation energy: -16.58 eV/f.u.
N(E_F): 10.59 states/eV/f.u.

```
Pm8Te4Ir3Pd
1.0
4.2296 2.4419 7.4576
-4.2296 2.4419 7.4576
0.0000 -4.8839 7.4576
Pm Te Ir Pd
8 4 3 1
Direct
0.2270 0.7424 0.7424
0.2368 0.2368 0.2368
0.2576 0.2576 0.7730
0.2576 0.7730 0.2576
0.7424 0.2270 0.7424
0.7424 0.7424 0.2270
0.7632 0.7632 0.7632
0.7730 0.2576 0.2576
0.0000 0.0000 0.0000
0.0000 0.5000 0.5000
0.5000 0.0000 0.5000
0.5000 0.5000 0.0000
0.0000 0.0000 0.5000
0.0000 0.5000 0.0000
0.5000 0.0000 0.0000
0.5000 0.5000 0.5000
```

***

Entry from Alexandria via LeMat-Bulk: a geometry-optimized PmTlIrPd structure (PBE).

calculated formation energy: -0.37 eV per atom
N(E_F): 2.59 states/eV/f.u.

```
PmTlIrPd
1.0
0.0000 3.4478 3.4478
3.4478 0.0000 3.4478
3.4478 3.4478 0.0000
Pm Tl Ir Pd
1 1 1 1
Direct
0.0000 0.0000 0.0000
0.5000 0.5000 0.5000
0.7500 0.7500 0.7500
0.2500 0.2500 0.2500
```

***

Entry from Alexandria via LeMat-Bulk: a geometry-optimized PmUIrPd structure (PBE).

calculated formation energy: -0.42 eV per atom
N(E_F): 6.48 states/eV/f.u.

```
PmUIrPd
1.0
0.0000 3.5035 3.5035
3.5035 0.0000 3.5035
3.5035 3.5035 0.0000
Pm U Ir Pd
1 1 1 1
Direct
0.0000 0.0000 0.0000
0.5000 0.5000 0.5000
0.2500 0.2500 0.2500
0.7500 0.7500 0.7500
```